Record 1
## Ca2HgW (PBE)

Data for Ca2HgW after structural relaxation.

Energy relative to the elements (eV/atom): 0.588

Cell lengths 6.5282, 9.3887, 3.0950 Å; angles 90.00, 90.00, 90.00 degrees
Last column: nearest neighbours and their distance in Å.
Fractional positions:
Ca 0.2500 0.2500 0.0000  4 Ca 3.10-3.26, 4 Hg 3.25, 4 W 3.25
Ca 0.2500 0.7500 0.0000  4 Ca 3.10-3.26, 4 Hg 3.25, 4 W 3.25
Ca 0.7500 0.2500 0.0000  4 Ca 3.10-3.26, 4 Hg 3.25, 4 W 3.25
Ca 0.7500 0.7500 0.0000  4 Ca 3.10-3.26, 4 Hg 3.25, 4 W 3.25
Hg 0.0000 0.0000 0.5000  2 Hg 3.10, 8 Ca 3.25, 2 W 3.26
Hg 0.5000 0.5000 0.5000  2 Hg 3.10, 8 Ca 3.25, 2 W 3.26
W 0.0000 0.5000 0.5000  2 W 3.10, 8 Ca 3.25, 2 Hg 3.26
W 0.5000 0.0000 0.5000  2 W 3.10, 8 Ca 3.25, 2 Hg 3.26

---

Record 2
## Ca2HgW (PBE)

Data for Ca2HgW after structural relaxation.

Energy relative to the elements (eV/atom): 0.569

Cell lengths 3.0930, 3.0930, 10.2282 Å; angles 90.00, 90.00, 90.00 degrees
Last column: nearest neighbours and their distance in Å.
Fractional positions:
Ca 0.0000 0.0000 0.0000  4 Ca 3.09, 4 W 3.20
Ca 0.5000 0.5000 0.3357  4 Ca 3.09, 4 Hg 3.20
Hg 0.0000 0.0000 0.5642  4 W 3.05, 4 Hg 3.09, 4 Ca 3.20
W 0.5000 0.5000 0.7719  4 Hg 3.05, 4 W 3.09, 4 Ca 3.20

---

Record 3
## CaHg2W (PBE)

Data for CaHg2W after structural relaxation.

Energy relative to the elements (eV/atom): 0.909
E above lowest polymorph (eV/f.u.): 1.96

Cell lengths 4.7658, 4.7658, 18.9504 Å; angles 90.00, 90.00, 90.00 degrees
Last column: nearest neighbours and their distance in Å.
Fractional positions:
Ca 0.0000 0.0000 0.0000  4 Hg 3.04, 4 W 3.37
Ca 0.0000 0.5000 0.2500  4 Hg 3.04, 4 W 3.37
Ca 0.5000 0.0000 0.7500  4 Hg 3.04, 4 W 3.37
Ca 0.5000 0.5000 0.5000  4 Hg 3.04, 4 W 3.37
Hg 0.1868 0.2500 0.6250  2 W 2.80, 2 Hg 2.97, 2 Ca 3.04
Hg 0.2500 0.6868 0.8750  2 W 2.80, 2 Hg 2.97, 2 Ca 3.04
Hg 0.2500 0.8132 0.3750  2 W 2.80, 2 Hg 2.97, 2 Ca 3.04
Hg 0.3132 0.2500 0.1250  2 W 2.80, 2 Hg 2.97, 2 Ca 3.04
Hg 0.6868 0.7500 0.1250  2 W 2.80, 2 Hg 2.97, 2 Ca 3.04
Hg 0.7500 0.1868 0.3750  2 W 2.80, 2 Hg 2.97, 2 Ca 3.04
Hg 0.7500 0.3132 0.8750  2 W 2.80, 2 Hg 2.97, 2 Ca 3.04
Hg 0.8132 0.7500 0.6250  2 W 2.80, 2 Hg 2.97, 2 Ca 3.04
W 0.0000 0.0000 0.5000  4 Hg 2.80
W 0.0000 0.5000 0.7500  4 Hg 2.80
W 0.5000 0.0000 0.2500  4 Hg 2.80
W 0.5000 0.5000 0.0000  4 Hg 2.80

---

Record 4
## CaHg2W2 (PBE)

Data for CaHg2W2 after structural relaxation.

Energy relative to the elements (eV/atom): 0.655
E above lowest polymorph (eV/f.u.): 0.00

Cell lengths 8.4662, 8.4662, 2.9225 Å; angles 90.00, 90.00, 90.00 degrees
Last column: nearest neighbours and their distance in Å.
Fractional positions:
Ca 0.0000 0.0000 0.0000  2 Ca 2.92
Ca 0.5000 0.5000 0.0000  2 Ca 2.92
Hg 0.1886 0.3114 0.5000  6 W 2.87-2.97, 2 Hg 2.92
Hg 0.3114 0.8114 0.5000  6 W 2.87-2.97, 2 Hg 2.92
Hg 0.6886 0.1886 0.5000  6 W 2.87-2.97, 2 Hg 2.92
Hg 0.8114 0.6886 0.5000  6 W 2.87-2.97, 2 Hg 2.92
W 0.1047 0.6047 0.0000  1 W 2.51
W 0.3953 0.1047 0.0000  1 W 2.51
W 0.6047 0.8953 0.0000  1 W 2.51
W 0.8953 0.3953 0.0000  1 W 2.51

---

Record 5
## Ca4YHg (PBE)

Data for Ca4YHg after structural relaxation.

Energy relative to the elements (eV/atom): 0.305

Cell lengths 6.8309, 6.8309, 6.8309 Å; angles 60.00, 60.00, 60.00 degrees
Last column: nearest neighbours and their distance in Å.
Fractional positions:
Ca 0.3755 0.3755 0.3755  6 Ca 3.40-3.43
Ca 0.3755 0.3755 0.8734  6 Ca 3.40-3.43
Ca 0.3755 0.8734 0.3755  6 Ca 3.40-3.43
Ca 0.8734 0.3755 0.3755  6 Ca 3.40-3.43
Y 0.7500 0.7500 0.7500  12 Ca 4.00, 4 Hg 4.18
Hg 0.0000 0.0000 0.0000  12 Ca 4.01, 4 Y 4.18

---

Record 6
## CaY2Hg (PBE)

Data for CaY2Hg after structural relaxation.

Energy relative to the elements (eV/atom): -0.225

Cell lengths 3.6512, 3.6512, 9.2729 Å; angles 90.00, 90.00, 90.00 degrees
Last column: nearest neighbours and their distance in Å.
Fractional positions:
Ca 0.0000 0.0000 0.0000  4 Hg 3.28, 4 Ca 3.65
Y 0.0000 0.0000 0.5758  4 Hg 3.21, 4 Y 3.56
Y 0.5000 0.5000 0.3122  8 Y 3.56-3.65, 4 Ca 3.88
Hg 0.5000 0.5000 0.7819  4 Y 3.21, 4 Ca 3.28

---

Record 7
## Ca3Y2Hg3 (PBE)

Data for Ca3Y2Hg3 after structural relaxation.

Energy relative to the elements (eV/atom): -0.398

Cell lengths 3.7788, 5.4436, 22.4466 Å; angles 90.00, 90.00, 90.00 degrees
Last column: nearest neighbours and their distance in Å.
Fractional positions:
Ca 0.0000 0.0000 0.0000  8 Hg 3.31
Ca 0.0000 0.5000 0.1192  6 Hg 3.28-3.31
Ca 0.0000 0.5000 0.8808  6 Hg 3.28-3.31
Ca 0.5000 0.0000 0.3808  6 Hg 3.28-3.31
Ca 0.5000 0.0000 0.6192  6 Hg 3.28-3.31
Ca 0.5000 0.5000 0.5000  8 Hg 3.31
Y 0.0000 0.0000 0.2305  2 Hg 3.09, 4 Y 3.43
Y 0.0000 0.0000 0.7695  2 Hg 3.09, 4 Y 3.43
Y 0.5000 0.5000 0.2695  2 Hg 3.09, 4 Y 3.43
Y 0.5000 0.5000 0.7305  2 Hg 3.09, 4 Y 3.43
Hg 0.0000 0.0000 0.5000  8 Ca 3.28-3.31
Hg 0.0000 0.5000 0.3787  2 Y 3.09, 6 Ca 3.31
Hg 0.0000 0.5000 0.6213  2 Y 3.09, 6 Ca 3.31
Hg 0.5000 0.0000 0.1213  2 Y 3.09, 6 Ca 3.31
Hg 0.5000 0.0000 0.8787  2 Y 3.09, 6 Ca 3.31
Hg 0.5000 0.5000 0.0000  8 Ca 3.28-3.31

---

Record 8
## CaY2Hg (PBE)

Data for CaY2Hg after structural relaxation.

Energy relative to the elements (eV/atom): -0.166

Cell lengths 3.7242, 3.7242, 9.2088 Å; angles 90.00, 90.00, 90.00 degrees
Last column: nearest neighbours and their distance in Å.
Fractional positions:
Ca 0.0000 0.0000 0.0000  4 Ca 3.72, 8 Y 3.84
Y 0.5000 0.5000 0.3032  4 Hg 3.20
Y 0.5000 0.5000 0.6968  4 Hg 3.20
Hg 0.0000 0.0000 0.5000  8 Y 3.20

---

Question: energy relative to the elements of number 1 (Ca2HgW)?
Answer: 0.588 eV/atom

---

Question: Number 2 is which compound?
Answer: Ca2HgW

---

Question: Which of these has the lowest energy relative to the elements?
Answer: Ca3Y2Hg3